(1)
Entry from Alexandria: a relaxed structure of Na2CuRh2Se6 (GGA-PBE).

Unit cell a=6.570 b=6.570 c=7.118 alpha=98.81 beta=98.81 gamma=120.66
Sites, in units of the cell vectors:
Se (0.061, 0.402, 0.690)
Rh (0.331, 0.669, 0.500)
Se (0.598, 0.939, 0.310)
Cu (0.000, 0.000, 0.500)
Rh (0.669, 0.331, 0.500)
Na (0.162, 0.838, 0.000)
Se (0.265, 0.265, 0.321)
Se (0.402, 0.061, 0.690)
Na (0.838, 0.162, 0.000)
Se (0.735, 0.735, 0.679)
Se (0.939, 0.598, 0.310)

Properties
As for the raw total energy: -47.6 eV for the cell shown. As for the symmetry: C2/m (12). The calculation puts the formation energy from raw total energies at -5.25 eV per formula unit.

---

(2)
Entry from Alexandria: a relaxed structure of Zr4TaAs (GGA-PBE).

Unit cell a=5.686 b=5.686 c=5.686 alpha=60.00 beta=60.00 gamma=60.00
Sites, in units of the cell vectors:
Ta (0.000, 0.000, 0.000)
Zr (0.373, 0.373, 0.373)
Zr (0.373, 0.881, 0.373)
Zr (0.373, 0.373, 0.881)
As (0.750, 0.750, 0.750)
Zr (0.881, 0.373, 0.373)

Properties
As for the raw total energy: -48.0 eV for the cell shown. As for the symmetry: F-43m (216). The energy relative to the elements is 0.45 eV per atom.

---

(3)
Entry from Alexandria: a relaxed structure of ZnAsH2Cl (GGA-PBE).

Unit cell a=3.483 b=8.649 c=3.483 alpha=90.00 beta=90.00 gamma=90.00
Sites, in units of the cell vectors:
Cl (0.000, 0.000, 0.000)
H (0.000, 0.000, 0.500)
As (0.000, 0.500, 0.000)
Zn (0.500, 0.500, 0.500)
H (0.500, 0.000, 0.000)

Properties
As for the raw total energy: -12.0 eV for the cell shown. As for the symmetry: P4/mmm (123).

---

(4)
Entry from Alexandria: a relaxed structure of Np3BiN3 (GGA-PBE).

Unit cell a=3.929 b=6.995 c=9.981 alpha=86.46 beta=78.65 gamma=73.69
Sites, in units of the cell vectors:
Np (0.880, 0.800, 0.441)
N (0.397, 0.222, 0.985)
N (0.043, 0.126, 0.788)
N (0.603, 0.778, 0.015)
Np (0.609, 0.965, 0.816)
Np (0.853, 0.362, 0.932)
Bi (0.356, 0.587, 0.700)
N (0.682, 0.044, 0.593)
Np (0.120, 0.200, 0.559)
Bi (0.644, 0.413, 0.300)
Np (0.147, 0.638, 0.068)
Np (0.391, 0.035, 0.184)
N (0.318, 0.956, 0.407)
N (0.957, 0.874, 0.212)

Properties
As for the raw total energy: -149.0 eV for the cell shown. As for the symmetry: C2/m (12). The calculation puts the formation energy from raw total energies at -6.82 eV per formula unit.

---

(5)
Entry from Alexandria: a relaxed structure of AcGdHoCd (GGA-PBE).

Unit cell a=5.631 b=5.631 c=5.631 alpha=60.00 beta=60.00 gamma=60.00
Sites, in units of the cell vectors:
Ac (0.750, 0.750, 0.750)
Gd (0.000, 0.000, 0.000)
Cd (0.250, 0.250, 0.250)
Ho (0.500, 0.500, 0.500)

Properties
As for the raw total energy: -23.4 eV for the cell shown. As for the symmetry: F-43m (216). The energy relative to the elements is 0.06 eV per atom.

---

(6)
Entry from Alexandria: a relaxed structure of YMnPb2S5 (GGA-PBE).

Unit cell a=3.983 b=9.051 c=12.608 alpha=90.00 beta=90.00 gamma=102.71
Sites, in units of the cell vectors:
Mn (0.445, 0.891, 0.428)
Pb (0.134, 0.268, 0.674)
Mn (0.555, 0.109, 0.928)
S (0.038, 0.077, 0.016)
S (0.680, 0.361, 0.879)
S (0.350, 0.699, 0.016)
S (0.297, 0.594, 0.677)
Pb (0.881, 0.762, 0.830)
Pb (0.866, 0.732, 0.174)
S (0.492, 0.984, 0.774)
Pb (0.119, 0.238, 0.330)
S (0.962, 0.923, 0.516)
Y (0.198, 0.395, 0.029)
S (0.320, 0.639, 0.379)
Y (0.802, 0.605, 0.529)
S (0.650, 0.301, 0.516)
S (0.703, 0.406, 0.177)
S (0.508, 0.016, 0.274)

Properties
As for the raw total energy: -103.7 eV for the cell shown. As for the symmetry: Cmc2_1 (36). The calculation puts the formation energy from raw total energies at -8.17 eV per formula unit.

---

(7)
Entry from Alexandria: a relaxed structure of Li4Cd3Ni (GGA-PBE).

Unit cell a=2.923 b=4.460 c=11.128 alpha=101.56 beta=89.98 gamma=90.00
Sites, in units of the cell vectors:
Li (0.501, 0.283, 0.567)
Cd (0.500, 0.000, 0.000)
Li (0.500, 0.593, 0.185)
Ni (0.000, 0.500, 0.000)
Cd (0.000, 0.841, 0.682)
Cd (0.000, 0.159, 0.318)
Li (0.499, 0.717, 0.433)
Li (0.500, 0.407, 0.815)

Properties
As for the raw total energy: -17.0 eV for the cell shown. As for the symmetry: Cmmm (65). The energy relative to the elements is -0.10 eV per atom.

---

(8)
Entry from Alexandria: a relaxed structure of PrZrAgHg (GGA-PBE).

Unit cell a=5.182 b=5.182 c=5.182 alpha=60.00 beta=60.00 gamma=60.00
Sites, in units of the cell vectors:
Pr (0.000, 0.000, 0.000)
Ag (0.250, 0.250, 0.250)
Zr (0.500, 0.500, 0.500)
Hg (0.750, 0.750, 0.750)

Properties
As for the raw total energy: -16.9 eV for the cell shown. As for the symmetry: F-43m (216). The energy relative to the elements is -0.11 eV per atom.

---

(9)
Entry from Alexandria: a relaxed structure of Rb3Ho2PuSe6 (GGA-PBE).

Unit cell a=7.393 b=7.393 c=8.348 alpha=98.50 beta=98.50 gamma=119.99
Sites, in units of the cell vectors:
Se (0.065, 0.403, 0.195)
Se (0.597, 0.935, 0.805)
Rb (0.834, 0.166, 0.500)
Se (0.403, 0.065, 0.195)
Se (0.726, 0.726, 0.195)
Rb (0.500, 0.500, 0.500)
Ho (0.333, 0.667, 0.000)
Se (0.274, 0.274, 0.805)
Se (0.935, 0.597, 0.805)
Pu (0.000, 0.000, 0.000)
Rb (0.166, 0.834, 0.500)
Ho (0.667, 0.333, 0.000)

Properties
As for the raw total energy: -66.8 eV for the cell shown. As for the symmetry: C2/m (12). The calculation puts the formation energy from raw total energies at -19.47 eV per formula unit.

---

(10)
Entry from Alexandria: a relaxed structure of PmScV (GGA-PBE).

Unit cell a=3.264 b=3.264 c=13.663 alpha=96.86 beta=96.86 gamma=90.00
Sites, in units of the cell vectors:
Pm (0.563, 0.563, 0.125)
V (0.731, 0.731, 0.462)
V (0.269, 0.269, 0.538)
Sc (0.162, 0.162, 0.323)
Pm (0.437, 0.437, 0.875)
Sc (0.838, 0.838, 0.677)

Properties
As for the raw total energy: -39.4 eV for the cell shown. As for the symmetry: I4/mmm (139). The energy relative to the elements is 0.17 eV per atom.

---

(11)
Entry from Alexandria: a relaxed structure of CrGeN2 (GGA-PBE).

Unit cell a=4.722 b=4.722 c=5.448 alpha=64.32 beta=64.32 gamma=90.00
Sites, in units of the cell vectors:
N (0.875, 0.910, 0.750)
N (0.090, 0.625, 0.250)
Ge (0.000, 0.000, 0.000)
N (0.375, 0.340, 0.750)
Cr (0.500, 0.500, 0.000)
N (0.660, 0.125, 0.250)
Ge (0.750, 0.250, 0.500)
Cr (0.250, 0.750, 0.500)

Properties
As for the raw total energy: -61.3 eV for the cell shown. As for the symmetry: I-42d (122). The calculation puts the formation energy from raw total energies at 0.22 eV per formula unit.

---

(12)
Entry from Alexandria: a relaxed structure of KCaFe2Te (GGA-PBE).

Unit cell a=4.946 b=4.946 c=6.161 alpha=90.00 beta=90.00 gamma=90.00
Sites, in units of the cell vectors:
Te (0.000, 0.000, 0.500)
Ca (0.500, 0.500, 0.500)
Fe (0.000, 0.500, 0.000)
K (0.000, 0.000, 0.000)
Fe (0.500, 0.000, 0.000)

Properties
As for the raw total energy: -16.7 eV for the cell shown. As for the symmetry: P4/mmm (123). The calculation puts the formation energy from raw total energies at 6.48 eV per formula unit.

---

(13)
Entry from Alexandria: a relaxed structure of NaTa3Ge (GGA-PBE).

Unit cell a=4.838 b=4.838 c=4.838 alpha=90.00 beta=90.00 gamma=90.00
Sites, in units of the cell vectors:
Na (0.500, 0.500, 0.500)
Ta (0.000, 0.000, 0.500)
Ge (0.000, 0.000, 0.000)
Ta (0.000, 0.500, 0.000)
Ta (0.500, 0.000, 0.000)

Properties
As for the raw total energy: -35.2 eV for the cell shown. For the energy above the lowest structure with this stoichiometry, the calculation gives 0.0 meV per atom. As for the symmetry: Pm-3m (221). The energy relative to the elements is 1.25 eV per atom.

---

(14)
Entry from Alexandria: a relaxed structure of CoTeW (GGA-PBE).

Unit cell a=3.732 b=3.732 c=9.265 alpha=90.00 beta=90.00 gamma=120.00
Sites, in units of the cell vectors:
Te (0.278, 0.556, 0.828)
W (0.611, 0.222, 0.366)
Co (0.611, 0.222, 0.000)
W (0.611, 0.222, 0.634)
Te (0.278, 0.556, 0.172)
Co (0.278, 0.556, 0.500)

Properties
As for the raw total energy: -42.9 eV for the cell shown. For the energy above the lowest structure with this stoichiometry, the calculation gives 0.0 meV per atom. As for the symmetry: P-6m2 (187). The calculation puts the formation energy from raw total energies at 1.75 eV per formula unit.

---

(15)
Entry from Alexandria: a relaxed structure of HoRuBr (GGA-PBE).

Unit cell a=4.150 b=4.150 c=11.533 alpha=79.64 beta=79.64 gamma=60.00
Sites, in units of the cell vectors:
Ho (0.558, 0.558, 0.326)
Ho (0.442, 0.442, 0.674)
Br (0.722, 0.722, 0.835)
Ru (0.836, 0.836, 0.492)
Ru (0.164, 0.164, 0.508)
Br (0.278, 0.278, 0.165)

Properties
As for the raw total energy: -36.8 eV for the cell shown. As for the symmetry: R-3m (166). The calculation puts the formation energy from raw total energies at -2.89 eV per formula unit.

---

(16)
Entry from Alexandria: a relaxed structure of Ac2Pt7 (GGA-PBE).

Unit cell a=5.579 b=5.579 c=13.850 alpha=78.38 beta=78.38 gamma=60.00
Sites, in units of the cell vectors:
Pt (0.500, 0.500, 0.000)
Pt (0.612, 0.612, 0.164)
Ac (0.853, 0.853, 0.442)
Pt (0.722, 0.722, 0.835)
Pt (0.611, 0.107, 0.670)
Pt (0.388, 0.388, 0.836)
Pt (0.500, 0.000, 0.000)
Ac (0.950, 0.950, 0.151)
Pt (0.107, 0.611, 0.670)
Pt (0.893, 0.389, 0.330)
Ac (0.147, 0.147, 0.558)
Pt (0.389, 0.893, 0.330)
Pt (0.000, 0.500, 0.000)
Pt (0.500, 0.500, 0.500)
Ac (0.050, 0.050, 0.849)
Pt (0.611, 0.611, 0.670)
Pt (0.278, 0.278, 0.165)
Pt (0.389, 0.389, 0.330)

Properties
As for the raw total energy: -116.8 eV for the cell shown. As for the symmetry: R-3m (166). The energy relative to the elements is -0.88 eV per atom.

---

(17)
Entry from Alexandria: a relaxed structure of TmMgGa2 (GGA-PBE).

Unit cell a=3.462 b=3.462 c=6.810 alpha=90.00 beta=90.00 gamma=90.00
Sites, in units of the cell vectors:
Tm (0.500, 0.500, 0.500)
Mg (0.500, 0.500, 0.000)
Ga (0.000, 0.000, 0.227)
Ga (0.000, 0.000, 0.773)

Properties
As for the raw total energy: -13.6 eV for the cell shown. As for the symmetry: P4/mmm (123). The energy relative to the elements is -0.36 eV per atom.

---

(18)
Entry from Alexandria: a relaxed structure of Mg3BiOs (GGA-PBE).

Unit cell a=5.285 b=5.285 c=5.285 alpha=90.00 beta=90.00 gamma=90.00
Sites, in units of the cell vectors:
Os (0.500, 0.500, 0.500)
Bi (0.000, 0.000, 0.000)
Mg (0.000, 0.500, 0.000)
Mg (0.500, 0.000, 0.000)
Mg (0.000, 0.000, 0.500)

Properties
As for the raw total energy: -12.7 eV for the cell shown. For the energy above the lowest structure with this stoichiometry, the calculation gives 948.4 meV per atom. As for the symmetry: Pm-3m (221). The energy relative to the elements is 1.44 eV per atom.

---

(19)
Entry from Alexandria: a relaxed structure of Al2Ni2Au (GGA-PBE).

Unit cell a=6.955 b=6.955 c=2.817 alpha=90.00 beta=90.00 gamma=90.00
Sites, in units of the cell vectors:
Ni (0.354, 0.146, 0.500)
Al (0.855, 0.645, 0.000)
Ni (0.646, 0.854, 0.500)
Ni (0.146, 0.646, 0.500)
Au (0.000, 0.000, 0.000)
Al (0.145, 0.355, 0.000)
Ni (0.854, 0.354, 0.500)
Al (0.645, 0.145, 0.000)
Au (0.500, 0.500, 0.000)
Al (0.355, 0.855, 0.000)

Properties
As for the raw total energy: -49.1 eV for the cell shown. For the energy above the lowest structure with this stoichiometry, the calculation gives 32.9 meV per atom. As for the symmetry: P4/mbm (127). The energy relative to the elements is -0.44 eV per atom.

---

(20)
Entry from Alexandria: a relaxed structure of TiAlN2O (GGA-PBE).

Unit cell a=3.701 b=3.701 c=3.585 alpha=90.00 beta=90.00 gamma=90.00
Sites, in units of the cell vectors:
Ti (0.500, 0.500, 0.500)
N (0.500, 0.000, 0.000)
Al (0.000, 0.000, 0.000)
O (0.000, 0.000, 0.500)
N (0.000, 0.500, 0.000)

Properties
As for the raw total energy: -36.0 eV for the cell shown. As for the symmetry: P4/mmm (123). The calculation puts the formation energy from raw total energies at -2.75 eV per formula unit.

---

(21)
Entry from Alexandria: a relaxed structure of Pm3SnSb2Rh9 (GGA-PBE).

Unit cell a=6.655 b=6.655 c=9.226 alpha=90.00 beta=90.00 gamma=120.00
Sites, in units of the cell vectors:
Rh (0.500, 0.500, 0.000)
Sb (0.333, 0.667, 0.190)
Rh (0.738, 0.869, 0.263)
Rh (0.000, 0.500, 0.000)
Rh (0.500, 0.000, 0.000)
Sb (0.667, 0.333, 0.810)
Pm (0.667, 0.333, 0.245)
Sn (0.000, 0.000, 0.500)
Rh (0.131, 0.869, 0.263)
Pm (0.333, 0.667, 0.755)
Rh (0.262, 0.131, 0.737)
Rh (0.869, 0.738, 0.737)
Pm (0.000, 0.000, 0.000)
Rh (0.869, 0.131, 0.737)
Rh (0.131, 0.262, 0.263)

Properties
As for the raw total energy: -96.5 eV for the cell shown. As for the symmetry: P-3m1 (164). The calculation puts the formation energy from raw total energies at -3.87 eV per formula unit.

---

(22)
Entry from Alexandria: a relaxed structure of BeZnNF2 (GGA-PBE).

Unit cell a=3.628 b=6.989 c=3.628 alpha=90.00 beta=90.00 gamma=90.00
Sites, in units of the cell vectors:
Zn (0.000, 0.000, 0.000)
N (0.500, 0.500, 0.500)
Be (0.000, 0.500, 0.000)
F (0.500, 0.000, 0.000)
F (0.000, 0.000, 0.500)

Properties
As for the raw total energy: -16.7 eV for the cell shown. For the energy above the lowest structure with this stoichiometry, the calculation gives 1225.7 meV per atom. As for the symmetry: P4/mmm (123). The calculation puts the formation energy from raw total energies at 0.37 eV per formula unit.

---

(23)
Entry from Alexandria: a relaxed structure of Zr3SbH (GGA-PBE).

Unit cell a=4.473 b=4.473 c=4.473 alpha=90.00 beta=90.00 gamma=90.00
Sites, in units of the cell vectors:
Zr (0.000, 0.500, 0.000)
Zr (0.000, 0.000, 0.500)
H (0.000, 0.000, 0.000)
Sb (0.500, 0.500, 0.500)
Zr (0.500, 0.000, 0.000)

Properties
As for the raw total energy: -35.6 eV for the cell shown. For the energy above the lowest structure with this stoichiometry, the calculation gives 0.0 meV per atom. As for the symmetry: Pm-3m (221).

---

(24)
Entry from Alexandria: a relaxed structure of Ti3Ge4Os (GGA-PBE).

Unit cell a=4.909 b=9.790 c=5.555 alpha=90.00 beta=90.00 gamma=90.00
Sites, in units of the cell vectors:
Ti (0.064, 0.705, 0.758)
Ti (0.064, 0.705, 0.242)
Ge (0.064, 0.430, 0.737)
Ti (0.564, 0.295, 0.742)
Ge (0.564, 0.570, 0.237)
Os (0.064, 0.217, 0.000)
Ti (0.064, 0.189, 0.500)
Ti (0.564, 0.295, 0.258)
Os (0.564, 0.783, 0.500)
Ge (0.064, 0.947, 0.000)
Ge (0.064, 0.430, 0.263)
Ge (0.065, 0.924, 0.500)
Ge (0.565, 0.076, 0.000)
Ge (0.564, 0.053, 0.500)
Ge (0.564, 0.570, 0.763)
Ti (0.564, 0.811, 0.000)

Properties
As for the raw total energy: -109.5 eV for the cell shown. As for the symmetry: Pmmn (59). The energy relative to the elements is -0.17 eV per atom.